Arrangement w

# GGA-PBE Be2HgCl, relaxed
data_Be2HgCl
_symmetry_space_group_name_H-M 'F -4 3 m'
_symmetry_Int_Tables_number 216
_symmetry_space_group_name_Hall 'F -4 2 3'
_cell_length_a 6.745
_cell_length_b 6.745
_cell_length_c 6.745
_cell_angle_alpha 90.00
_cell_angle_beta 90.00
_cell_angle_gamma 90.00
loop_
_atom_site_label
_atom_site_fract_x
_atom_site_fract_y
_atom_site_fract_z
Be1 0.000 0.000 0.000
Be2 0.250 0.250 0.250
Hg1 0.000 0.000 0.500
Cl1 0.250 0.250 0.750
# - Magnetization: 0.039 μB/cell
# - D(E_F): 15.3 states/eV per cell
# - Mass density: 5.500 g cm⁻³
# - Crystal system: cubic

=====

Arrangement x

# GGA-PBE Be2HgCl, relaxed
data_Be2HgCl
_symmetry_space_group_name_H-M 'P 1 m 1'
_symmetry_Int_Tables_number 6
_symmetry_space_group_name_Hall 'P -2y'
_cell_length_a 2.991
_cell_length_b 5.032
_cell_length_c 4.428
_cell_angle_alpha 90.00
_cell_angle_beta 90.03
_cell_angle_gamma 90.00
loop_
_atom_site_label
_atom_site_fract_x
_atom_site_fract_y
_atom_site_fract_z
Be1 0.000 0.000 0.000
Be2 0.496 0.500 0.312
Hg1 0.496 0.000 0.504
Cl1 0.996 0.500 0.001
# - Magnetization: 0.000 μB/cell
# - D(E_F): 1.4 states/eV per cell
# - Mass density: 6.330 g cm⁻³
# - Crystal system: monoclinic

=====

Arrangement y

# GGA-PBE Be2HgCl, relaxed
data_Be2HgCl
_symmetry_space_group_name_H-M 'P 4 m m'
_symmetry_Int_Tables_number 99
_symmetry_space_group_name_Hall 'P 4 -2'
_cell_length_a 3.079
_cell_length_b 3.079
_cell_length_c 7.716
_cell_angle_alpha 90.00
_cell_angle_beta 90.00
_cell_angle_gamma 90.00
loop_
_atom_site_label
_atom_site_fract_x
_atom_site_fract_y
_atom_site_fract_z
Be1 0.000 0.000 0.000
Be2 0.500 0.500 0.126
Hg1 0.000 0.000 0.688
Cl1 0.500 0.500 0.373
# - Magnetization: 0.000 μB/cell
# - D(E_F): 0.9 states/eV per cell
# - Mass density: 5.766 g cm⁻³
# - Crystal system: tetragonal

=====

Arrangement z

# GGA-PBE Be2HgCl, relaxed
data_Be2HgCl
_symmetry_space_group_name_H-M 'C m m 2'
_symmetry_Int_Tables_number 35
_symmetry_space_group_name_Hall 'C 2 -2'
_cell_length_a 2.921
_cell_length_b 5.952
_cell_length_c 9.529
_cell_angle_alpha 90.00
_cell_angle_beta 90.00
_cell_angle_gamma 90.00
loop_
_atom_site_label
_atom_site_fract_x
_atom_site_fract_y
_atom_site_fract_z
Be1 0.000 0.000 0.000
Be2 0.000 0.500 0.186
Hg1 0.000 0.000 0.405
Cl1 0.000 0.500 0.855
# - Magnetization: 0.000 μB/cell
# - D(E_F): 2.2 states/eV per cell
# - Mass density: 5.093 g cm⁻³
# - Crystal system: orthorhombic

=====

What is the most stable structure shown above? It is arrangement y.